(1)
First-principles (GGA-PBE) data for a geometry-optimized Li4YNbO6 structure, as listed in the Open Quantum Materials Database.

Geometry as CIF:
```
data_Li4YNbO6
_cell_length_a 5.434
_cell_length_b 9.428
_cell_length_c 5.217
_cell_angle_alpha 90.00
_cell_angle_beta 110.10
_cell_angle_gamma 90.00
_space_group_name_H-M_alt 'C 1 2 1'
_space_group_IT_number 5
_space_group_name_Hall 'C 2y'
loop_
_atom_site_label
_atom_site_fract_x
_atom_site_fract_y
_atom_site_fract_z
Li1 0.000 0.000 0.000
Li2 0.000 0.144 0.500
Li3 0.000 0.305 0.000
Li4 0.000 0.624 0.000
Y1 0.000 0.811 0.500
Nb1 0.000 0.477 0.500
O1 0.228 0.327 0.739
O2 0.231 0.481 0.268
O3 0.233 0.632 0.742
```

Properties
The total energy comes out at -0.514 Ry/atom.


(2)
First-principles (GGA-PBE) data for a geometry-optimized Li3Zr2Nb3O12 structure, as listed in the Open Quantum Materials Database.

Geometry as CIF:
```
data_Li3Zr2Nb3O12
_cell_length_a 11.868
_cell_length_b 11.868
_cell_length_c 11.868
_cell_angle_alpha 90.00
_cell_angle_beta 90.00
_cell_angle_gamma 90.00
_space_group_name_H-M_alt 'I a -3 d'
_space_group_IT_number 230
_space_group_name_Hall '-I 4bd 2c 3'
loop_
_atom_site_label
_atom_site_fract_x
_atom_site_fract_y
_atom_site_fract_z
Li1 0.000 0.250 0.375
Zr1 0.000 0.000 0.000
Nb1 0.000 0.250 0.125
O1 0.025 0.071 0.658
```

Properties
The total energy comes out at -0.591 Ry/atom.


(3)
First-principles (GGA-PBE) data for a geometry-optimized Li3Zr3Nb2O12 structure, as listed in the Open Quantum Materials Database.

Geometry as CIF:
```
data_Li3Zr3Nb2O12
_cell_length_a 11.939
_cell_length_b 11.939
_cell_length_c 11.939
_cell_angle_alpha 90.00
_cell_angle_beta 90.00
_cell_angle_gamma 90.00
_space_group_name_H-M_alt 'I a -3 d'
_space_group_IT_number 230
_space_group_name_Hall '-I 4bd 2c 3'
loop_
_atom_site_label
_atom_site_fract_x
_atom_site_fract_y
_atom_site_fract_z
Li1 0.000 0.250 0.375
Zr1 0.000 0.250 0.125
Nb1 0.000 0.000 0.000
O1 0.025 0.065 0.654
```

Properties
The total energy comes out at -0.604 Ry/atom.


(4)
First-principles (GGA-PBE) data for a geometry-optimized LiNbOs structure, as listed in the Open Quantum Materials Database.

Geometry as CIF:
```
data_LiNbOs
_cell_length_a 5.999
_cell_length_b 5.999
_cell_length_c 5.999
_cell_angle_alpha 90.00
_cell_angle_beta 90.00
_cell_angle_gamma 90.00
_space_group_name_H-M_alt 'F -4 3 m'
_space_group_IT_number 216
_space_group_name_Hall 'F -4 2 3'
loop_
_atom_site_label
_atom_site_fract_x
_atom_site_fract_y
_atom_site_fract_z
Li1 0.000 0.000 0.000
Nb1 0.250 0.250 0.250
Os1 0.000 0.000 0.500
```

Properties
The value obtained for the distance to the lowest polymorph of the same formula is 194 meV/atom.